Computed, not measured: an optimized crystal structure of Sc2Mn5GaB2 at the PBE level of DFT.

Geometry as extended XYZ:
```
20
Lattice="8.975 0.000 0.000 0.000 8.975 0.000 0.000 0.000 3.088" Properties=species:S:1:pos:R:3 pbc="T T T"
Sc 1.546 2.941 0.000
Sc 2.941 7.429 0.000
Sc 6.033 1.546 0.000
Sc 7.429 6.033 0.000
Mn 0.000 4.487 1.544
Mn 0.632 6.989 1.544
Mn 1.986 0.632 1.544
Mn 2.502 5.119 1.544
Mn 3.855 2.502 1.544
Mn 4.487 0.000 1.544
Mn 5.119 6.473 1.544
Mn 6.473 3.855 1.544
Mn 6.989 8.343 1.544
Mn 8.343 1.986 1.544
Ga 0.000 0.000 0.000
Ga 4.487 4.487 0.000
B 1.076 5.563 0.000
B 3.411 1.076 0.000
B 5.563 7.899 0.000
B 7.899 3.411 0.000
```

Computed properties:
Formation energy (eV per atom): -0.31
Magnetization (μB per formula unit): 9.934
E (eV per cell): -155.9